The following is a DFT calculation (PBE) of an optimized crystal structure of BaMgPRu.

* DFT formation energy: -575 meV per atom
* magnetic moment: 0.0 μB/cell
* total DFT energy (no corrections): -5.126 eV per atom

a = 4.1055 Å, b = 4.1055 Å, c = 12.5799 Å
α = 90.00°, β = 90.00°, γ = 90.00°
With the nearest neighbours (Å) after each atom.
Element x y z (fractional)
Ba (0.7500, 0.7500, 0.2274)  4 P 3.37, 4 Ru 3.52
Ba (0.2500, 0.2500, 0.7726)  4 P 3.37, 4 Ru 3.52
Mg (0.7500, 0.2500, 0.5000)  4 Mg 2.90
Mg (0.2500, 0.7500, 0.5000)  4 Mg 2.90
Ru (0.2500, 0.7500, 0.0000)  4 P 2.35
Ru (0.7500, 0.2500, 0.0000)  4 P 2.35
P (0.7500, 0.7500, 0.9084)  4 Ru 2.35
P (0.2500, 0.2500, 0.0916)  4 Ru 2.35